(1)
VASP calculation (PBE) on an optimized crystal structure of Li3Hg.

The structure in POSCAR format:
```
Li3Hg
1.0
5.843 0.000 0.000
-2.922 5.060 0.000
0.000 0.000 4.801
Li Hg
6 2
Cartesian
0.000 1.723 1.200
-1.429 4.199 1.200
1.492 0.862 3.601
1.429 4.199 1.200
4.351 0.862 3.601
2.922 3.337 3.601
0.000 3.374 3.601
2.922 1.687 1.200
```

Its energy relative to the lowest polymorph listed for this composition is 12 meV per atom. For the formation energy, the calculation gives -0.27 eV/atom.

---

(2)
VASP calculation (PBE) on an optimized crystal structure of Sr12TlGa6.

The structure in POSCAR format:
```
Sr12TlGa6
1.0
-5.625 5.625 5.625
5.625 -5.625 5.625
5.625 5.625 -5.625
Sr Tl Ga
12 1 6
Cartesian
5.625 -2.309 3.537
3.316 2.089 0.000
7.935 2.089 0.000
3.537 5.625 -2.309
2.089 0.000 3.316
0.000 3.316 2.089
5.625 2.309 3.537
3.537 5.625 2.309
2.089 0.000 7.935
-2.309 3.537 5.625
2.309 3.537 5.625
0.000 7.935 2.089
0.000 0.000 0.000
5.625 0.000 1.291
5.625 4.335 0.000
1.291 5.625 0.000
4.335 0.000 5.625
0.000 1.291 5.625
0.000 5.625 4.335
```

For the formation energy, the calculation gives -0.25 eV/atom.

---

(3)
VASP calculation (PBE) on an optimized crystal structure of Al2Ni15Mo2.

The structure in POSCAR format:
```
Al2Ni15Mo2
1.0
3.609 2.084 5.189
-3.609 2.084 5.189
0.000 -4.168 5.189
Al Ni Mo
2 15 2
Cartesian
0.000 0.000 1.358
0.000 0.000 14.209
-3.609 0.000 7.783
-1.131 -2.209 5.189
-1.805 1.042 2.594
-2.478 0.125 5.189
-1.311 -0.757 6.936
1.131 -2.209 5.189
-1.348 2.084 5.189
0.000 -1.514 8.630
-1.311 0.757 8.630
1.805 1.042 2.594
1.311 -0.757 6.936
0.000 1.514 6.936
2.478 0.125 5.189
1.348 2.084 5.189
1.311 0.757 8.630
0.000 0.000 4.390
0.000 0.000 11.176
```

For the formation energy, the calculation gives 0.16 eV/atom.

---

(4)
VASP calculation (PBE) on an optimized crystal structure of MgZr2PdC.

The structure in POSCAR format:
```
MgZr2PdC
1.0
5.019 0.000 0.000
0.000 5.019 0.000
0.000 0.000 4.351
Mg Zr Pd C
1 2 1 1
Cartesian
0.000 0.000 0.000
0.000 2.510 0.000
2.510 0.000 0.000
0.000 0.000 2.176
2.510 2.510 2.176
```

For the formation energy, the calculation gives 1.94 eV/atom.

---

(5)
VASP calculation (PBE) on an optimized crystal structure of Ca2LaGa3.

The structure in POSCAR format:
```
Ca2LaGa3
1.0
2.621 -7.897 0.000
2.621 7.897 0.000
0.000 0.000 7.398
Ca La Ga
4 2 6
Cartesian
0.000 0.000 0.000
0.000 0.000 3.699
2.621 2.669 0.000
2.621 -2.669 0.000
2.621 2.512 3.699
2.621 -2.512 3.699
2.621 5.257 1.804
2.621 5.257 5.595
2.621 0.000 1.714
2.621 0.000 5.684
2.621 -5.257 1.804
2.621 -5.257 5.595
```

For the formation energy, the calculation gives -0.48 eV/atom.

---

(6)
VASP calculation (PBE) on an optimized crystal structure of Ru2CBr.

The structure in POSCAR format:
```
Ru2CBr
1.0
-2.519 2.519 5.143
2.519 -2.519 5.143
2.519 2.519 -5.143
Ru C Br
4 2 2
Cartesian
3.779 0.788 -1.286
0.788 1.260 1.286
-1.260 1.731 3.857
1.731 1.260 6.428
0.000 0.000 0.000
0.000 2.519 2.571
2.519 0.000 2.571
0.000 0.000 5.143
```

Its energy relative to the lowest polymorph listed for this composition is 0 meV per atom. The raw formation energy comes out at 0.643 eV per atom.

---

(7)
VASP calculation (PBE) on an optimized crystal structure of K3SrTa.

The structure in POSCAR format:
```
K3SrTa
1.0
7.228 0.000 0.000
0.000 7.228 0.000
0.000 0.000 7.228
K Sr Ta
3 1 1
Cartesian
0.000 0.000 3.614
0.000 3.614 0.000
3.614 0.000 0.000
0.000 0.000 0.000
3.614 3.614 3.614
```

Its energy relative to the lowest polymorph listed for this composition is 522 meV per atom. For the formation energy, the calculation gives 1.84 eV/atom.

---

(8)
VASP calculation (PBE) on an optimized crystal structure of KCdNiHg2.

The structure in POSCAR format:
```
KCdNiHg2
1.0
5.172 0.000 0.000
0.000 5.172 0.000
0.000 0.000 5.105
K Cd Ni Hg
1 1 1 2
Cartesian
0.000 0.000 0.000
2.586 2.586 0.000
2.586 2.586 2.553
0.000 2.586 2.553
2.586 0.000 2.553
```

For the formation energy, the calculation gives -0.10 eV/atom.

---

(9)
VASP calculation (PBE) on an optimized crystal structure of FeSn2Sb2.

The structure in POSCAR format:
```
FeSn2Sb2
1.0
6.627 0.000 0.000
0.000 6.627 0.000
0.000 0.000 6.063
Fe Sn Sb
2 4 4
Cartesian
0.000 0.000 0.000
3.314 3.314 0.000
1.558 1.756 3.032
1.756 5.070 3.032
4.871 1.558 3.032
5.070 4.871 3.032
1.014 2.300 0.000
2.300 5.613 0.000
4.327 1.014 0.000
5.613 4.327 0.000
```

The raw formation energy comes out at 0.242 eV per atom.

---

(10)
VASP calculation (PBE) on an optimized crystal structure of Pm2NpRhO8.

The structure in POSCAR format:
```
Pm2NpRhO8
1.0
3.564 -3.693 0.000
3.564 3.693 0.000
-0.006 0.000 6.776
Pm Np Rh O
2 1 1 8
Cartesian
0.028 0.000 1.761
7.094 0.000 5.015
3.564 0.000 0.000
3.561 0.000 3.388
1.529 0.000 6.759
1.584 0.000 3.416
3.546 1.290 1.684
3.576 1.290 5.092
3.546 -1.290 1.684
3.576 -1.290 5.092
5.537 0.000 3.360
5.592 0.000 0.017
```

The raw formation energy comes out at -2.424 eV per atom.